No. 1
The following is a DFT calculation (PBE-GGA) of crystalline Ta2RuRh at its relaxed geometry.

a = 6.985 Å, b = 6.985 Å, c = 6.985 Å
α = 131.18°, β = 131.18°, γ = 71.53°
Positions (direct):
Ta 0.123 0.625 0.998
Ta 0.375 0.373 0.498
Ta 0.627 0.125 0.002
Ta 0.875 0.877 0.502
Ru 0.000 0.000 0.000
Ru 0.750 0.250 0.500
Rh 0.250 0.750 0.500
Rh 0.500 0.500 0.000

## Properties
**E_tot**: -9.160 eV per atom
**E_form**: 0.92 eV per atom


No. 2
The following is a DFT calculation (PBE-GGA) of crystalline Ta4Ru5Rh at its relaxed geometry.

a = 7.498 Å, b = 7.498 Å, c = 5.477 Å
α = 109.02°, β = 109.02°, γ = 32.76°
Positions (direct):
Ta 0.085 0.085 0.349
Ta 0.302 0.302 0.868
Ta 0.698 0.698 0.132
Ta 0.915 0.915 0.651
Ru 0.114 0.114 0.858
Ru 0.295 0.295 0.377
Ru 0.500 0.500 0.500
Ru 0.705 0.705 0.623
Ru 0.886 0.886 0.142
Rh 0.500 0.500 0.000

## Properties
**E_tot**: -10.515 eV per atom
**E_form**: -0.40 eV per atom


No. 3
The following is a DFT calculation (PBE-GGA) of crystalline Ta2Ru2Rh at its relaxed geometry.

a = 7.290 Å, b = 7.290 Å, c = 3.062 Å
α = 90.00°, β = 90.00°, γ = 90.00°
Positions (direct):
Ta 0.166 0.334 0.000
Ta 0.334 0.834 0.000
Ta 0.666 0.166 0.000
Ta 0.834 0.666 0.000
Ru 0.134 0.634 0.500
Ru 0.366 0.134 0.500
Ru 0.634 0.866 0.500
Ru 0.866 0.366 0.500
Rh 0.000 0.000 0.500
Rh 0.500 0.500 0.500

## Properties
**E_tot**: -10.068 eV per atom
**E_form**: -0.15 eV per atom


No. 4
The following is a DFT calculation (PBE-GGA) of crystalline Ta6RuRh at its relaxed geometry.

a = 7.276 Å, b = 7.276 Å, c = 7.276 Å
α = 143.24°, β = 143.24°, γ = 52.96°
Positions (direct):
Ta 0.123 0.623 0.500
Ta 0.250 0.250 0.000
Ta 0.377 0.877 0.500
Ta 0.623 0.123 0.500
Ta 0.750 0.750 0.000
Ta 0.877 0.377 0.500
Ru 0.000 0.000 0.000
Rh 0.500 0.500 0.000

## Properties
**E_tot**: -11.243 eV per atom
**E_form**: -0.27 eV per atom


No. 5
The following is a DFT calculation (PBE-GGA) of crystalline Ta2RuRh at its relaxed geometry.

a = 2.818 Å, b = 2.818 Å, c = 8.321 Å
α = 90.00°, β = 90.00°, γ = 100.82°
Positions (direct):
Ta 0.000 0.000 0.000
Ta 0.500 0.500 0.280
Ru 0.000 0.000 0.523
Rh 0.500 0.500 0.755

## Properties
**E_tot**: -10.139 eV per atom
**E_form**: -0.06 eV per atom


No. 6
The following is a DFT calculation (PBE-GGA) of crystalline Ta2RuRh at its relaxed geometry.

a = 4.689 Å, b = 4.689 Å, c = 2.940 Å
α = 90.00°, β = 90.00°, γ = 90.00°
Positions (direct):
Ta 0.000 0.500 0.000
Ta 0.500 0.000 0.000
Ru 0.000 0.000 0.500
Rh 0.500 0.500 0.500

## Properties
**E_tot**: -10.379 eV per atom
**E_form**: -0.30 eV per atom


No. 7
The following is a DFT calculation (PBE-GGA) of crystalline TaRuRh at its relaxed geometry.

a = 5.508 Å, b = 5.810 Å, c = 6.237 Å
α = 76.48°, β = 74.29°, γ = 89.98°
Positions (direct):
Ta 0.098 0.328 0.193
Ta 0.099 0.828 0.192
Ta 0.901 0.172 0.808
Ta 0.902 0.672 0.807
Ru 0.386 0.163 0.852
Ru 0.386 0.661 0.852
Ru 0.614 0.339 0.148
Ru 0.614 0.837 0.148
Rh 0.261 0.499 0.506
Rh 0.261 0.999 0.506
Rh 0.739 0.001 0.494
Rh 0.739 0.501 0.494

## Properties
**Relative energy among the computed polymorphs**: 70 meV/atom
**E_tot**: -9.783 eV per atom
**E_form**: -0.29 eV per atom


No. 8
The following is a DFT calculation (PBE-GGA) of crystalline TaRu3Rh at its relaxed geometry.

a = 4.579 Å, b = 4.579 Å, c = 4.579 Å
α = 90.00°, β = 90.00°, γ = 90.00°
Positions (direct):
Ta 0.000 0.000 0.000
Ru 0.000 0.500 0.500
Ru 0.500 0.000 0.500
Ru 0.500 0.500 0.000
Rh 0.500 0.500 0.500

## Properties
**Relative energy among the computed polymorphs**: 707 meV/atom
**E_tot**: -7.589 eV per atom
**E_form**: 1.82 eV per atom